Here is crystalline Si2TcSe at its relaxed geometry from Alexandria via LeMat-Bulk. Energies are from PBE-GGA.

Computed properties:
DFT total energy: -24.25 eV/f.u.
Formation energy without anion corrections: 0.112 eV/atom

Lattice parameters (Å, degrees): 4.047 3.392 9.301 90.00 90.00 90.00
Space group Amm2 (No. 38)
Unique sites:
Si1 0.000 0.000 0.000 (multiplicity 2)
Si2 0.500 0.000 0.447 (multiplicity 2)
Tc1 0.500 0.000 0.148 (multiplicity 2)
Se1 0.000 0.000 0.744 (multiplicity 2)

---

Here is crystalline Zn5NiAu at its relaxed geometry from Alexandria via LeMat-Bulk. Energies are from PBE-GGA.

Computed properties:
DFT total energy: -15.74 eV/f.u.

Lattice parameters (Å, degrees): 9.520 7.326 6.943 90.00 114.89 90.00
Space group C2/c (No. 15)
Unique sites:
Zn1 0.000 0.043 0.250 (multiplicity 4)
Zn2 0.077 0.387 0.128 (multiplicity 8)
Zn3 0.218 0.104 0.078 (multiplicity 8)
Ni1 0.000 0.300 0.750 (multiplicity 4)
Au1 0.250 0.250 0.500 (multiplicity 4)

---

Here is crystalline Ho2ZnGe2Rh5 at its relaxed geometry from Alexandria via LeMat-Bulk. Energies are from PBE-GGA.

Computed properties:
DFT total energy: -64.16 eV/f.u.

Lattice parameters (Å, degrees): 9.716 9.716 3.549 90.00 90.00 90.00
Space group P4/mbm (No. 127)
Unique sites:
Ho1 0.173 0.327 0.000 (multiplicity 4)
Zn1 0.000 0.000 0.000 (multiplicity 2)
Ge1 0.127 0.627 0.000 (multiplicity 4)
Rh1 0.000 0.500 0.500 (multiplicity 2)
Rh2 0.067 0.795 0.500 (multiplicity 8)